(1)
Entry from Alexandria: crystalline Tb3ErCo8 at its relaxed geometry (PBE).

Unit cell a=5.067 b=5.067 c=8.786 alpha=73.26 beta=73.26 gamma=60.07
Positions (direct):
Tb 0.375 0.375 0.875
Tb 0.000 0.000 0.000
Tb 0.500 0.500 0.500
Er 0.875 0.875 0.375
Co 0.936 0.437 0.189
Co 0.439 0.937 0.686
Co 0.437 0.437 0.189
Co 0.937 0.937 0.686
Co 0.188 0.188 0.437
Co 0.687 0.687 0.938
Co 0.437 0.936 0.189
Co 0.937 0.439 0.686

M_tot = 7.56 μB/f.u.
space group = R3m, No. 160
DFT formation energy = -0.1969 eV/atom


(2)
Entry from Alexandria: crystalline Na2CuP2O7 at its relaxed geometry (PBE).

Unit cell a=7.973 b=7.973 c=8.133 alpha=66.97 beta=66.97 gamma=42.95
Positions (direct):
Na 0.914 0.630 0.299
Na 0.370 0.086 0.201
Na 0.086 0.370 0.701
Na 0.630 0.914 0.799
Cu 0.000 0.000 0.500
Cu 0.000 0.000 0.000
P 0.443 0.767 0.656
P 0.233 0.557 0.844
P 0.557 0.233 0.344
P 0.767 0.443 0.156
O 0.476 0.524 0.750
O 0.524 0.476 0.250
O 0.277 0.941 0.800
O 0.059 0.723 0.700
O 0.723 0.059 0.200
O 0.941 0.277 0.300
O 0.700 0.675 0.602
O 0.325 0.300 0.898
O 0.300 0.325 0.398
O 0.675 0.700 0.102
O 0.890 0.314 0.991
O 0.686 0.110 0.509
O 0.110 0.686 0.009
O 0.314 0.890 0.491

E_form (uncorrected) = -1.975 eV/atom
M_tot = 1.00 μB/f.u.
energy above the most stable polymorph in this dataset = 0.00 eV/f.u.
space group = C2/c, No. 15


(3)
Entry from Alexandria: crystalline ScSiTc at its relaxed geometry (PBE).

Unit cell a=6.960 b=6.839 c=7.756 alpha=116.16 beta=116.66 gamma=90.00
Positions (direct):
Sc 0.753 0.054 0.607
Sc 0.146 0.946 0.393
Sc 0.361 0.750 0.000
Sc 0.361 0.250 0.000
Sc 0.146 0.446 0.393
Sc 0.753 0.554 0.607
Si 0.753 0.250 0.000
Si 0.753 0.750 0.000
Si 0.420 0.167 0.333
Si 0.087 0.833 0.667
Si 0.087 0.333 0.667
Si 0.420 0.667 0.333
Tc 0.014 0.000 0.000
Tc 0.014 0.500 0.000
Tc 0.493 0.370 0.740
Tc 0.753 0.630 0.260
Tc 0.753 0.130 0.260
Tc 0.493 0.870 0.740

E_form (uncorrected) = -0.734 eV/atom
M_tot = 0.00 μB/f.u.
energy above the most stable polymorph in this dataset = 0.00 eV/f.u.
space group = P-62m, No. 189


(4)
Entry from Alexandria: crystalline NaPm2Ag at its relaxed geometry (PBE).

Unit cell a=3.992 b=5.342 c=5.342 alpha=90.00 beta=90.00 gamma=90.00
Positions (direct):
Na 0.500 0.500 0.500
Ag 0.500 0.000 0.000
Pm 0.000 0.000 0.500
Pm 0.000 0.500 0.000

M_tot = 0.37 μB/f.u.
energy above the most stable polymorph in this dataset = 0.29 eV/f.u.
space group = P4/mmm, No. 123
DFT formation energy = 0.0955 eV/atom


(5)
Entry from Alexandria: crystalline Ta2CIBr at its relaxed geometry (PBE).

Unit cell a=4.708 b=6.501 c=4.708 alpha=90.00 beta=90.00 gamma=90.00
Positions (direct):
I 0.000 0.500 0.000
C 0.500 0.500 0.500
Br 0.000 0.000 0.000
Ta 0.000 0.000 0.500
Ta 0.500 0.000 0.000

E_form (uncorrected) = 2.973 eV/atom
M_tot = 0.64 μB/f.u.
energy above the most stable polymorph in this dataset = 1.71 eV/f.u.
space group = P4/mmm, No. 123


(6)
Entry from Alexandria: crystalline ReNi6Au at its relaxed geometry (PBE).

Unit cell a=6.328 b=6.328 c=10.367 alpha=90.00 beta=90.00 gamma=109.34
Positions (direct):
Au 0.256 0.744 0.750
Au 0.744 0.256 0.750
Au 0.500 0.500 0.499
Au 0.500 0.500 0.001
Ni 0.245 0.755 0.491
Ni 0.882 0.637 0.619
Ni 0.118 0.363 0.619
Ni 0.755 0.245 0.491
Ni 0.363 0.118 0.619
Ni 0.637 0.882 0.619
Ni 0.500 0.500 0.250
Ni 0.115 0.371 0.370
Ni 0.371 0.115 0.370
Ni 0.245 0.755 0.009
Ni 0.885 0.629 0.130
Ni 0.115 0.371 0.130
Ni 0.755 0.245 0.009
Ni 0.371 0.115 0.130
Ni 0.629 0.885 0.130
Ni 0.500 0.500 0.750
Ni 0.118 0.363 0.881
Ni 0.363 0.118 0.881
Ni 0.000 0.000 0.250
Ni 0.629 0.885 0.370
Ni 0.885 0.629 0.370
Ni 0.000 0.000 0.750
Ni 0.637 0.882 0.881
Ni 0.882 0.637 0.881
Re 0.250 0.750 0.250
Re 0.750 0.250 0.250
Re 0.000 0.000 0.506
Re 0.000 0.000 0.994

M_tot = 0.00 μB/f.u.
space group = Cmmm, No. 65
DFT formation energy = 0.0517 eV/atom


(7)
Entry from Alexandria: crystalline CdFe at its relaxed geometry (PBE).

Unit cell a=7.785 b=7.785 c=4.013 alpha=90.00 beta=90.00 gamma=120.00
Positions (direct):
Cd 0.827 0.653 0.250
Cd 0.173 0.827 0.750
Cd 0.347 0.173 0.250
Cd 0.173 0.347 0.750
Cd 0.827 0.173 0.250
Cd 0.653 0.827 0.750
Fe 0.439 0.878 0.250
Fe 0.561 0.439 0.750
Fe 0.122 0.561 0.250
Fe 0.561 0.122 0.750
Fe 0.439 0.561 0.250
Fe 0.878 0.439 0.750

M_tot = 2.22 μB/f.u.
space group = P6_3/mmc, No. 194
DFT formation energy = 0.3568 eV/atom


(8)
Entry from Alexandria: crystalline LiCeSnRu at its relaxed geometry (PBE).

Unit cell a=4.768 b=4.768 c=4.768 alpha=60.00 beta=60.00 gamma=60.00
Positions (direct):
Ru 0.750 0.750 0.750
Sn 0.500 0.500 0.500
Ce 0.000 0.000 0.000
Li 0.250 0.250 0.250

M_tot = 0.00 μB/f.u.
space group = F-43m, No. 216
DFT formation energy = -0.3947 eV/atom